A relaxed structure of TePtNF2, computed with GGA-PBE.

Summary:
Calculated volume = 83 Å³ per cell
Total DFT energy (no corrections) = -4.11 eV per atom
Energy above the lowest structure with this stoichiometry = 0 meV/atom
Density of states at the Fermi level = 2.8 states/eV/cell
SG = No. 123
Formation energy (no corrections) = 142 meV per atom

POSCAR file:
```
TePtNF2
1.0
-1.4202 -4.5546 -0.0602
4.1682 -1.3249 1.9068
-1.4066 0.3943 3.3487
N Te Pt F
1 1 1 2
direct
0.0000 0.0000 0.5000
0.5000 0.5000 0.5000
0.0000 0.0000 0.0000
0.0000 0.5000 0.0000
0.5000 0.0000 0.0000
```

=====

A relaxed structure of TePtN2F, computed with GGA-PBE.

Summary:
Calculated volume = 69 Å³ per cell
Total DFT energy (no corrections) = -4.59 eV per atom
Energy above the lowest structure with this stoichiometry = 93 meV/atom
Density of states at the Fermi level = 3.4 states/eV/cell
SG = No. 123
Formation energy (no corrections) = 955 meV per atom

POSCAR file:
```
TePtN2F
1.0
4.0220 0.0000 0.0000
0.0000 4.0220 0.0000
0.0000 0.0000 4.2664
N Te Pt F
2 1 1 1
direct
0.0000 0.5000 0.0000
0.5000 0.0000 0.0000
0.5000 0.5000 0.5000
0.0000 0.0000 0.0000
0.0000 0.0000 0.5000
```

=====

A relaxed structure of TePtN2F, computed with GGA-PBE.

Summary:
Calculated volume = 95 Å³ per cell
Total DFT energy (no corrections) = -4.68 eV per atom
Energy above the lowest structure with this stoichiometry = 0 meV/atom
Density of states at the Fermi level = 4.1 states/eV/cell
SG = No. 123
Formation energy (no corrections) = 862 meV per atom

POSCAR file:
```
TePtN2F
1.0
3.7286 0.0000 0.0000
0.0000 3.7286 0.0000
0.0000 0.0000 6.8533
N Te Pt F
2 1 1 1
direct
0.0000 0.5000 0.0000
0.5000 0.0000 0.0000
0.0000 0.0000 0.5000
0.0000 0.0000 0.0000
0.5000 0.5000 0.5000
```

=====

A relaxed structure of Te2PtNF, computed with GGA-PBE.

Summary:
Calculated volume = 113 Å³ per cell
Total DFT energy (no corrections) = -4.15 eV per atom
Energy above the lowest structure with this stoichiometry = 0 meV/atom
Density of states at the Fermi level = 4.3 states/eV/cell
SG = No. 123
Formation energy (no corrections) = 350 meV per atom

POSCAR file:
```
Te2PtNF
1.0
5.5839 0.0000 0.0000
0.0000 5.5839 0.0000
0.0000 0.0000 3.6321
N Te Pt F
1 2 1 1
direct
0.0000 0.0000 0.5000
0.0000 0.5000 0.0000
0.5000 0.0000 0.0000
0.0000 0.0000 0.0000
0.5000 0.5000 0.5000
```